[1]
Below is Ac5CoTe4 after structural relaxation, with properties calculated at the PBE-GGA level.

```
data_Ac5CoTe4
_symmetry_space_group_name_H-M 'I 4/m'
_symmetry_Int_Tables_number 87
_symmetry_space_group_name_Hall '-I 4'
_cell_length_a 10.4051
_cell_length_b 10.4051
_cell_length_c 6.6797
_cell_angle_alpha 90.00
_cell_angle_beta 90.00
_cell_angle_gamma 90.00
loop_
_atom_site_label
_atom_site_fract_x
_atom_site_fract_y
_atom_site_fract_z
Ac1 0.0000 0.0000 0.0000
Ac2 0.0932 0.2617 0.5000
Co1 0.0000 0.0000 0.5000
Te1 0.0856 0.3103 0.0000
```


[2]
Below is Ac6Co3Te after structural relaxation, with properties calculated at the PBE-GGA level.

```
data_Ac6Co3Te
_symmetry_space_group_name_H-M 'P 1 21/m 1'
_symmetry_Int_Tables_number 11
_cell_length_a 12.1544
_cell_length_b 4.2799
_cell_length_c 12.9275
_cell_angle_alpha 90.00
_cell_angle_beta 104.38
_cell_angle_gamma 90.00
loop_
_symmetry_equiv_pos_as_xyz
'x,y,z'
'-x,-y,-z'
'-x,y+1/2,-z'
'x,-y+1/2,z'
loop_
_atom_site_label
_atom_site_fract_x
_atom_site_fract_y
_atom_site_fract_z
Ac1 0.0007 0.2500 0.1196
Ac2 0.1121 0.7500 0.4567
Ac3 0.1931 0.2500 0.7591
Ac4 0.2914 0.2500 0.2939
Ac5 0.3251 0.7500 0.0342
Ac6 0.4241 0.2500 0.5948
Co1 0.0233 0.7500 0.6636
Co2 0.1605 0.2500 0.9756
Co3 0.3495 0.7500 0.4338
Te1 0.4536 0.7500 0.8225
```


[3]
Below is Ac12Co3Te5 after structural relaxation, with properties calculated at the PBE-GGA level.

```
data_Ac12Co3Te5
_symmetry_space_group_name_H-M 'I a -3 d'
_symmetry_Int_Tables_number 230
_symmetry_space_group_name_Hall '-I 4bd 2c 3'
_cell_length_a 18.8388
_cell_length_b 18.8388
_cell_length_c 18.8388
_cell_angle_alpha 90.00
_cell_angle_beta 90.00
_cell_angle_gamma 90.00
loop_
_atom_site_label
_atom_site_fract_x
_atom_site_fract_y
_atom_site_fract_z
Ac1 0.0208 0.0911 0.6466
Co1 0.0000 0.2500 0.1250
Te1 0.0000 0.0000 0.0000
Te2 0.0000 0.2500 0.3750
```


no.,raw total energy (eV/atom),ΔE_f (raw) (eV/atom)
1,-5.178,-1.157
2,-5.189,-0.278
3,-4.510,-0.194